! CsPa2MoO8 (GGA+U, relaxed); values from VASP
! - calculated total energy (eV per atom) = -8.1737
! - V (Å³/f.u.) = 232.7
! - crystal system = triclinic
&SYSTEM
  ibrav = 0, nat = 12, ntyp = 4
/
ATOMIC_SPECIES
Cs 132.91 Cs.upf
Pa 231.04 Pa.upf
Mo 95.94 Mo.upf
O 16.00 O.upf
CELL_PARAMETERS angstrom
5.641 0.000 0.000
1.648 5.425 0.000
1.641 1.219 7.605
ATOMIC_POSITIONS crystal
Cs 0.000 0.000 0.000
Pa 0.439 0.440 0.234
Pa 0.561 0.560 0.766
Mo 0.000 0.000 0.500
O 0.206 0.765 0.326
O 0.215 0.806 0.668
O 0.238 0.223 0.401
O 0.360 0.368 0.987
O 0.640 0.632 0.013
O 0.762 0.777 0.599
O 0.785 0.194 0.332
O 0.794 0.235 0.674